The following is a DFT calculation (PBE-GGA) of a geometry-optimized Pr5Te5S2 structure.

Values from the calculation:
- E (eV/cell) = -134.56
- magnetization (μB per cell) = 0.0
- mass density (g cm⁻³) = 5.96
- uncorrected formation energy (eV per atom) = -1.62
- crystal system = monoclinic

Geometry as CIF:
```
data_Pr5Te5S2
_cell_length_a 14.5681
_cell_length_b 4.3485
_cell_length_c 12.8908
_cell_angle_alpha 90.00
_cell_angle_beta 106.33
_cell_angle_gamma 90.00
_space_group_name_H-M_alt 'C 1 2/m 1'
_space_group_IT_number 12
_space_group_name_Hall '-C 2y'
loop_
_atom_site_label
_atom_site_type_symbol
_atom_site_fract_x
_atom_site_fract_y
_atom_site_fract_z
Pr1 Pr 0.0000 0.0000 0.0000
Pr2 Pr 0.1058 0.0000 0.3995
Pr3 Pr 0.1759 0.5000 0.8005
Te1 Te 0.0000 0.5000 0.5000
Te2 Te 0.1661 0.5000 0.0545
Te3 Te 0.2498 0.0000 0.6463
S1 S 0.0413 0.0000 0.7942
```

The following is a DFT calculation (PBE-GGA) of a geometry-optimized Pr5TeS4 structure.

Values from the calculation:
- E (eV/cell) = -124.62
- magnetization (μB per cell) = 0.0
- mass density (g cm⁻³) = 6.11
- uncorrected formation energy (eV per atom) = -1.88
- crystal system = monoclinic

Geometry as CIF:
```
data_Pr5TeS4
_cell_length_a 13.9799
_cell_length_b 4.1676
_cell_length_c 10.3188
_cell_angle_alpha 90.00
_cell_angle_beta 119.82
_cell_angle_gamma 90.00
_space_group_name_H-M_alt 'C 1 2/m 1'
_space_group_IT_number 12
_space_group_name_Hall '-C 2y'
loop_
_atom_site_label
_atom_site_type_symbol
_atom_site_fract_x
_atom_site_fract_y
_atom_site_fract_z
Pr1 Pr 0.0000 0.0000 0.0000
Pr2 Pr 0.1134 0.5000 0.3871
Pr3 Pr 0.2099 0.0000 0.8177
Te1 Te 0.0000 0.0000 0.5000
S1 S 0.0936 0.5000 0.8940
S2 S 0.2056 0.0000 0.2930
```

The following is a DFT calculation (PBE-GGA) of a geometry-optimized Pr3TeS2 structure.

Values from the calculation:
- E (eV/cell) = -140.21
- magnetization (μB per cell) = 0.0
- mass density (g cm⁻³) = 5.99
- uncorrected formation energy (eV per atom) = -1.55
- crystal system = orthorhombic

Geometry as CIF:
```
data_Pr3TeS2
_cell_length_a 4.3976
_cell_length_b 14.3102
_cell_length_c 10.8282
_cell_angle_alpha 90.00
_cell_angle_beta 90.00
_cell_angle_gamma 90.00
_space_group_name_H-M_alt 'C m c m'
_space_group_IT_number 63
_space_group_name_Hall '-C 2c 2'
loop_
_atom_site_label
_atom_site_type_symbol
_atom_site_fract_x
_atom_site_fract_y
_atom_site_fract_z
Pr1 Pr 0.0000 0.0824 0.2500
Pr2 Pr 0.0000 0.3566 0.0509
Te1 Te 0.0000 0.2492 0.7500
S1 S 0.0000 0.0000 0.0000
S2 S 0.0000 0.4723 0.2500
```

The following is a DFT calculation (PBE-GGA) of a geometry-optimized PrTeS structure.

Values from the calculation:
- E (eV/cell) = -65.82
- magnetization (μB per cell) = 0.0
- mass density (g cm⁻³) = 6.18
- uncorrected formation energy (eV per atom) = -1.47
- distance to the lowest polymorph of the same formula (eV per atom) = 0.000
- crystal system = tetragonal

Geometry as CIF:
```
data_PrTeS
_cell_length_a 4.2893
_cell_length_b 4.2893
_cell_length_c 17.5520
_cell_angle_alpha 90.00
_cell_angle_beta 90.00
_cell_angle_gamma 90.00
_space_group_name_H-M_alt 'I 4/m m m'
_space_group_IT_number 139
_space_group_name_Hall '-I 4 2'
loop_
_atom_site_label
_atom_site_type_symbol
_atom_site_fract_x
_atom_site_fract_y
_atom_site_fract_z
Pr1 Pr 0.0000 0.0000 0.1555
Te1 Te 0.0000 0.5000 0.0000
S1 S 0.0000 0.0000 0.3164
```

The following is a DFT calculation (PBE-GGA) of a geometry-optimized Pr3Te2S structure.

Values from the calculation:
- E (eV/cell) = -67.87
- magnetization (μB per cell) = 0.0
- mass density (g cm⁻³) = 6.46
- uncorrected formation energy (eV per atom) = -1.53
- distance to the lowest polymorph of the same formula (eV per atom) = 0.076
- crystal system = hexagonal

Geometry as CIF:
```
data_Pr3Te2S
_cell_length_a 4.2978
_cell_length_b 4.2978
_cell_length_c 22.8168
_cell_angle_alpha 90.00
_cell_angle_beta 90.00
_cell_angle_gamma 120.00
_space_group_name_H-M_alt 'P 63/m m c'
_space_group_IT_number 194
_space_group_name_Hall '-P 6c 2c'
loop_
_atom_site_label
_atom_site_type_symbol
_atom_site_fract_x
_atom_site_fract_y
_atom_site_fract_z
Pr1 Pr 0.0000 0.0000 0.0000
Pr2 Pr 0.3333 0.6667 0.1728
Te1 Te 0.3333 0.6667 0.5871
S1 S 0.0000 0.0000 0.2500
```

The following is a DFT calculation (PBE-GGA) of a geometry-optimized Pr3TeS3 structure.

Values from the calculation:
- E (eV/cell) = -255.41
- magnetization (μB per cell) = 0.0
- mass density (g cm⁻³) = 4.95
- uncorrected formation energy (eV per atom) = -1.82
- crystal system = trigonal

Geometry as CIF:
```
data_Pr3TeS3
_cell_length_a 8.2746
_cell_length_b 8.2746
_cell_length_c 21.9412
_cell_angle_alpha 90.00
_cell_angle_beta 90.00
_cell_angle_gamma 120.00
_space_group_name_H-M_alt 'R -3'
_space_group_IT_number 148
_space_group_name_Hall '-R 3'
loop_
_atom_site_label
_atom_site_type_symbol
_atom_site_fract_x
_atom_site_fract_y
_atom_site_fract_z
Pr1 Pr 0.0079 0.3846 0.0965
Te1 Te 0.0000 0.0000 0.3303
S1 S 0.0009 0.7249 0.1100
```

The following is a DFT calculation (PBE-GGA) of a geometry-optimized PrTeS3 structure.

Values from the calculation:
- E (eV/cell) = -48.86
- magnetization (μB per cell) = 0.0
- mass density (g cm⁻³) = 4.13
- uncorrected formation energy (eV per atom) = -0.83
- crystal system = monoclinic

Geometry as CIF:
```
data_PrTeS3
_cell_length_a 4.0499
_cell_length_b 9.4190
_cell_length_c 7.7309
_cell_angle_alpha 90.00
_cell_angle_beta 96.49
_cell_angle_gamma 90.00
_space_group_name_H-M_alt 'P 1 21/m 1'
_space_group_IT_number 11
_space_group_name_Hall '-P 2yb'
loop_
_atom_site_label
_atom_site_type_symbol
_atom_site_fract_x
_atom_site_fract_y
_atom_site_fract_z
Pr1 Pr 0.2326 0.2500 0.0606
Te1 Te 0.3740 0.7500 0.3704
S1 S 0.2069 0.7500 0.6802
S2 S 0.3205 0.5713 0.1230
```

The following is a DFT calculation (PBE-GGA) of a geometry-optimized Pr2TeS4 structure.

Values from the calculation:
- E (eV/cell) = -75.96
- magnetization (μB per cell) = 0.0
- mass density (g cm⁻³) = 5.15
- uncorrected formation energy (eV per atom) = -1.25
- crystal system = tetragonal

Geometry as CIF:
```
data_Pr2TeS4
_cell_length_a 6.8199
_cell_length_b 6.8199
_cell_length_c 7.4593
_cell_angle_alpha 90.00
_cell_angle_beta 90.00
_cell_angle_gamma 90.00
_space_group_name_H-M_alt 'I 4/m m m'
_space_group_IT_number 139
_space_group_name_Hall '-I 4 2'
loop_
_atom_site_label
_atom_site_type_symbol
_atom_site_fract_x
_atom_site_fract_y
_atom_site_fract_z
Pr1 Pr 0.0000 0.5000 0.2500
Te1 Te 0.0000 0.0000 0.0000
S1 S 0.2298 0.2298 0.5000
```

The following is a DFT calculation (PBE-GGA) of a geometry-optimized Pr5Te4S structure.

Values from the calculation:
- E (eV/cell) = -111.76
- magnetization (μB per cell) = 0.0
- mass density (g cm⁻³) = 6.60
- uncorrected formation energy (eV per atom) = -1.53
- crystal system = tetragonal

Geometry as CIF:
```
data_Pr5Te4S
_cell_length_a 4.4054
_cell_length_b 4.4054
_cell_length_c 32.3206
_cell_angle_alpha 90.00
_cell_angle_beta 90.00
_cell_angle_gamma 90.00
_space_group_name_H-M_alt 'I 4/m m m'
_space_group_IT_number 139
_space_group_name_Hall '-I 4 2'
loop_
_atom_site_label
_atom_site_type_symbol
_atom_site_fract_x
_atom_site_fract_y
_atom_site_fract_z
Pr1 Pr 0.0000 0.0000 0.0000
Pr2 Pr 0.0000 0.0000 0.2099
Pr3 Pr 0.0000 0.0000 0.4144
Te1 Te 0.0000 0.0000 0.1021
Te2 Te 0.0000 0.0000 0.3096
S1 S 0.0000 0.0000 0.5000
```

The following is a DFT calculation (PBE-GGA) of a geometry-optimized Pr4Te2S3 structure.

Values from the calculation:
- E (eV/cell) = -214.31
- magnetization (μB per cell) = 0.0
- mass density (g cm⁻³) = 6.19
- uncorrected formation energy (eV per atom) = -1.75
- crystal system = orthorhombic

Geometry as CIF:
```
data_Pr4Te2S3
_cell_length_a 7.8243
_cell_length_b 16.1843
_cell_length_c 7.7558
_cell_angle_alpha 90.00
_cell_angle_beta 90.00
_cell_angle_gamma 90.00
_space_group_name_H-M_alt 'C m c e'
_space_group_IT_number 64
_space_group_name_Hall '-C 2ac 2'
loop_
_atom_site_label
_atom_site_type_symbol
_atom_site_fract_x
_atom_site_fract_y
_atom_site_fract_z
Pr1 Pr 0.0000 0.1987 0.0386
Pr2 Pr 0.2500 0.0339 0.7500
Te1 Te 0.0000 0.1065 0.4239
S1 S 0.0000 0.0000 0.0000
S2 S 0.2500 0.2113 0.7500
```